Entry 1:
VASP calculation (GGA-PBE) on NpAl2O8 after structural relaxation.

Calculated values
**Raw formation energy**: -2.201 eV/atom
**Calculated volume**: 164.4 Å³ per cell
**Total magnetic moment**: 0.0904 μB per atom
**D(E_F)**: 0.0576 states/eV/atom

Structure (extended XYZ):
```
11
Lattice="3.4168 0.0000 0.0000 -1.4280 6.7999 0.0000 -0.1471 -1.3727 7.0763" Properties=species:S:1:pos:R:3 pbc="T T T"
Np 0.0000 0.0000 0.0000
Al 0.0663 1.6436 3.3158
Al 1.7754 3.7837 3.7605
O 0.0983 -0.2199 3.9838
O 0.0515 1.1589 1.5487
O 0.0675 3.5451 3.2176
O 0.0462 5.7654 0.6642
O 1.7955 -0.3382 6.4121
O 1.7743 1.8821 3.8587
O 1.7903 4.2684 5.5276
O 1.7434 5.6471 3.0925
```

=====

Entry 2:
VASP calculation (GGA-PBE) on Np2AlO8 after structural relaxation.

Calculated values
**Raw formation energy**: -2.565 eV/atom
**Calculated volume**: 134.8 Å³ per cell
**Total magnetic moment**: 0.0909 μB per atom
**D(E_F)**: 0.5401 states/eV/atom

Structure (extended XYZ):
```
11
Lattice="4.4907 -3.2728 0.0000 4.4907 3.2728 0.0000 -1.7308 0.0000 4.5860" Properties=species:S:1:pos:R:3 pbc="T T T"
Np 1.0296 0.0000 1.3482
Np 6.2211 0.0000 3.2379
Al 4.4907 0.0000 0.0000
O -0.8446 0.0000 3.6571
O 1.8738 1.2786 3.4569
O 2.9149 0.0000 1.0974
O 5.3769 1.2786 1.1291
O 1.8738 -1.2786 3.4569
O 4.3358 0.0000 3.4886
O 5.3769 -1.2786 1.1291
O 8.0953 0.0000 0.9289
```

=====

Entry 3:
VASP calculation (GGA-PBE) on Np2AlO11 after structural relaxation.

Calculated values
**Raw formation energy**: -1.879 eV/atom
**Calculated volume**: 429.9 Å³ per cell
**Total magnetic moment**: 0.0767 μB per atom
**D(E_F)**: 0.1529 states/eV/atom

Structure (extended XYZ):
```
28
Lattice="5.7357 -6.5175 0.0000 5.7357 6.5175 0.0000 -3.6948 0.0000 5.7494" Properties=species:S:1:pos:R:3 pbc="T T T"
Np 3.8883 5.5002 2.8747
Np 5.9915 1.0640 0.0020
Np 4.1441 -1.0640 2.8767
Np 5.7357 -5.5002 0.0000
Al 1.1350 3.1448 2.8721
Al -0.7124 -3.1448 5.7468
O 2.3897 4.3509 2.4346
O 1.6433 0.2414 0.0844
O -0.2040 -0.2414 2.9591
O 5.6714 4.4671 0.2697
O 4.8994 3.9379 1.2039
O 1.8684 2.1717 4.1420
O 4.5977 2.5728 1.1368
O 4.4125 4.2653 4.3241
O 2.9142 0.1329 2.3193
O 1.0668 -0.1329 5.1940
O 7.4002 2.2905 0.5425
O 3.7158 -2.1717 1.2673
O 5.8823 0.1490 1.7039
O 4.0349 -0.1490 4.5786
O 2.7503 -2.5728 4.0115
O 0.5423 -4.3509 5.3093
O 3.0520 -3.9379 4.0786
O 5.5528 -2.2905 3.4172
O 3.8240 -4.4671 3.1444
O 7.5348 0.0445 4.1664
O 9.3822 -0.0445 1.2917
O 6.2599 -4.2653 1.4494
```

=====

Entry 4:
VASP calculation (GGA-PBE) on NpAlPbO6 after structural relaxation.

Calculated values
**Raw formation energy**: -2.316 eV/atom
**Calculated volume**: 263.5 Å³ per cell
**Total magnetic moment**: 0.0000 μB per atom

Structure (extended XYZ):
```
18
Lattice="5.2960 0.0000 0.0000 -2.6480 4.5865 0.0000 0.0000 0.0000 10.8493" Properties=species:S:1:pos:R:3 pbc="T T T"
Np 0.0000 3.0576 2.7123
Np 2.6480 1.5288 8.1370
Al 0.0000 3.0576 8.1370
Al 2.6480 1.5288 2.7123
Pb 0.0000 0.0000 0.0000
Pb 0.0000 0.0000 5.4246
O -0.9375 1.7487 7.0600
O -1.6023 2.9002 9.2139
O 0.9375 1.7487 9.2139
O -0.6648 4.5240 7.0600
O 1.9832 0.0624 1.6354
O 1.0457 1.6863 3.7892
O 1.6023 2.9002 7.0600
O 0.6648 4.5240 9.2139
O 3.3128 0.0624 3.7892
O 1.7105 2.8377 1.6354
O 4.2503 1.6863 1.6354
O 3.5855 2.8377 3.7892
```

=====

Entry 5:
VASP calculation (GGA-PBE) on NpAlPb2O6 after structural relaxation.

Calculated values
**Raw formation energy**: -2.159 eV/atom
**Calculated volume**: 135.3 Å³ per cell
**Total magnetic moment**: 0.2000 μB per atom
**D(E_F)**: 0.7028 states/eV/atom

Structure (extended XYZ):
```
10
Lattice="0.0000 4.0751 4.0751 4.0751 0.0000 4.0751 4.0751 4.0751 0.0000" Properties=species:S:1:pos:R:3 pbc="T T T"
Np 0.0000 0.0000 0.0000
Al 4.0751 4.0751 4.0751
Pb 2.0375 2.0375 2.0375
Pb 6.1126 6.1126 6.1126
O 4.0751 4.0751 2.1397
O 4.0751 2.1397 4.0751
O 6.0105 4.0751 4.0751
O 2.1397 4.0751 4.0751
O 4.0751 6.0105 4.0751
O 4.0751 4.0751 6.0105
```

=====

Entry 6:
VASP calculation (GGA-PBE) on NpAl2PdO8 after structural relaxation.

Calculated values
**Raw formation energy**: -2.166 eV/atom
**Calculated volume**: 131.7 Å³ per cell
**Total magnetic moment**: 0.0832 μB per atom
**D(E_F)**: 0.3351 states/eV/atom

Structure (extended XYZ):
```
12
Lattice="3.2520 -3.3590 0.0000 3.2520 3.3590 0.0000 0.0000 0.0000 6.0269" Properties=species:S:1:pos:R:3 pbc="T T T"
Np 0.0000 0.0000 0.0000
Al 3.2520 0.0000 1.5804
Al 3.2520 0.0000 4.4465
Pd 0.0000 0.0000 3.0134
O 3.2520 1.9677 1.5204
O 3.2520 1.9677 4.5064
O 2.0446 0.0000 3.0134
O 2.0706 0.0000 0.0000
O 4.4334 0.0000 0.0000
O 4.4594 0.0000 3.0134
O 3.2520 -1.9677 1.5204
O 3.2520 -1.9677 4.5064
```